No. 1
Compound: NdBi2TeO8
Source: Alexandria
Functional: PBE
Structure: relaxed

Values from the calculation:
E_tot (eV per atom): -6.14
Calculated volume (Å³/atom): 15.63
Magnetization (μB/atom): 0.00

CIF file:
```
data_NdBi2TeO8
_space_group_name_H-M_alt 'C m m m'
_space_group_IT_number 65
_space_group_name_Hall '-C 2 2'
_cell_length_a 7.272
_cell_length_b 7.355
_cell_length_c 7.013
_cell_angle_alpha 90.00
_cell_angle_beta 90.00
_cell_angle_gamma 90.00
loop_
_atom_site_label
_atom_site_fract_x
_atom_site_fract_y
_atom_site_fract_z
Nd1 0.000 0.000 0.000
Bi1 0.000 0.500 0.256
Te1 0.000 0.000 0.500
O1 0.000 0.267 0.500
O2 0.000 0.318 0.000
O3 0.180 0.000 0.289
```



No. 2
Compound: NdTlBi2O6
Source: Alexandria
Functional: PBE
Structure: relaxed

Values from the calculation:
E_tot (eV per atom): -6.05
Calculated volume (Å³/atom): 16.65
Magnetization (μB/atom): 0.00

CIF file:
```
data_NdTlBi2O6
_space_group_name_H-M_alt 'R 3'
_space_group_IT_number 146
_space_group_name_Hall 'R 3'
_cell_length_a 6.1167
_cell_length_b 6.1167
_cell_length_c 15.4170
_cell_angle_alpha 90.00
_cell_angle_beta 90.00
_cell_angle_gamma 120.00
loop_
_atom_site_label
_atom_site_fract_x
_atom_site_fract_y
_atom_site_fract_z
Nd1 0.0000 0.0000 0.0000
Tl1 0.0000 0.0000 0.4984
Bi1 0.0000 0.0000 0.2836
Bi2 0.0000 0.0000 0.7810
O1 0.0638 0.6784 0.0504
O2 0.0689 0.3748 0.5503
```



No. 3
Compound: Nd4TlBi3O12
Source: Alexandria
Functional: PBE
Structure: relaxed

Values from the calculation:
E_tot (eV per atom): -6.65
Calculated volume (Å³/atom): 17.40
Magnetization (μB/atom): 0.10

CIF file:
```
data_Nd4TlBi3O12
_space_group_name_H-M_alt 'I m -3'
_space_group_IT_number 204
_space_group_name_Hall '-I 2 2 3'
_cell_length_a 8.861
_cell_length_b 8.861
_cell_length_c 8.861
_cell_angle_alpha 90.00
_cell_angle_beta 90.00
_cell_angle_gamma 90.00
loop_
_atom_site_label
_atom_site_fract_x
_atom_site_fract_y
_atom_site_fract_z
Nd1 0.250 0.250 0.250
Tl1 0.000 0.000 0.000
Bi1 0.000 0.000 0.500
O1 0.000 0.320 0.180
```



No. 4
Compound: Nd2Tl2BiO6
Source: Alexandria
Functional: PBE
Structure: relaxed

Values from the calculation:
E_tot (eV per atom): -6.20
Calculated volume (Å³/atom): 20.09
Magnetization (μB/atom): 0.00

CIF file:
```
data_Nd2Tl2BiO6
_space_group_name_H-M_alt 'C 1 2/m 1'
_space_group_IT_number 12
_cell_length_a 6.280
_cell_length_b 10.816
_cell_length_c 6.836
_cell_angle_alpha 90.00
_cell_angle_beta 107.88
_cell_angle_gamma 90.00
loop_
_space_group_symop_operation_xyz
'x,y,z'
'-x,-y,-z'
'-x,y,-z'
'x,-y,z'
'x+1/2,y+1/2,z'
'-x+1/2,-y+1/2,-z'
'-x+1/2,y+1/2,-z'
'x+1/2,-y+1/2,z'
loop_
_atom_site_label
_atom_site_fract_x
_atom_site_fract_y
_atom_site_fract_z
Nd1 0.000 0.165 0.000
Tl1 0.000 0.332 0.500
Bi1 0.000 0.500 0.000
O1 0.217 0.337 0.173
O2 0.244 0.000 0.179
```



No. 5
Compound: NdTmBiO2
Source: Alexandria
Functional: PBE
Structure: relaxed

Values from the calculation:
E_tot (eV per atom): -7.24
Calculated volume (Å³/atom): 21.20
Magnetization (μB/atom): 0.00

CIF file:
```
data_NdTmBiO2
_space_group_name_H-M_alt 'I 4 m m'
_space_group_IT_number 107
_space_group_name_Hall 'I 4 -2'
_cell_length_a 3.927
_cell_length_b 3.927
_cell_length_c 13.750
_cell_angle_alpha 90.00
_cell_angle_beta 90.00
_cell_angle_gamma 90.00
loop_
_atom_site_label
_atom_site_fract_x
_atom_site_fract_y
_atom_site_fract_z
Nd1 0.000 0.000 0.000
Tm1 0.000 0.000 0.335
Bi1 0.000 0.000 0.670
O1 0.000 0.500 0.408
```



No. 6
Compound: NdUBiO6
Source: Alexandria
Functional: PBE
Structure: relaxed

Values from the calculation:
E_tot (eV per atom): -8.15
Calculated volume (Å³/atom): 16.18
Magnetization (μB/atom): 0.00

CIF file:
```
data_NdUBiO6
_space_group_name_H-M_alt 'P -3 1 c'
_space_group_IT_number 163
_space_group_name_Hall '-P 3 2c'
_cell_length_a 5.9862
_cell_length_b 5.9862
_cell_length_c 9.3863
_cell_angle_alpha 90.00
_cell_angle_beta 90.00
_cell_angle_gamma 120.00
loop_
_atom_site_label
_atom_site_fract_x
_atom_site_fract_y
_atom_site_fract_z
Nd1 0.3333 0.6667 0.2500
U1 0.3333 0.6667 0.7500
Bi1 0.0000 0.0000 0.0000
O1 0.0354 0.3650 0.6337
```